# 1
DFT (PBE-GGA) results for a relaxed KAl2Ag crystal.

Geometry as CIF:
```
data_KAl2Ag
_space_group_name_H-M_alt 'P 4/m m m'
_space_group_IT_number 123
_space_group_name_Hall '-P 4 2'
_cell_length_a 3.257
_cell_length_b 3.257
_cell_length_c 8.767
_cell_angle_alpha 90.00
_cell_angle_beta 90.00
_cell_angle_gamma 90.00
loop_
_atom_site_label
_atom_site_type_symbol
_atom_site_fract_x
_atom_site_fract_y
_atom_site_fract_z
_atom_site_occupancy
K1 K 0.000 0.000 0.000 1
Al1 Al 0.500 0.500 0.317 1
Ag1 Ag 0.000 0.000 0.500 1
```

- Energy above the most stable polymorph in this dataset: 17 meV/atom

# 2
DFT (PBE-GGA) results for a relaxed KAl4Ag crystal.

Geometry as CIF:
```
data_KAl4Ag
_space_group_name_H-M_alt 'F -4 3 m'
_space_group_IT_number 216
_space_group_name_Hall 'F -4 2 3'
_cell_length_a 7.987
_cell_length_b 7.987
_cell_length_c 7.987
_cell_angle_alpha 90.00
_cell_angle_beta 90.00
_cell_angle_gamma 90.00
loop_
_atom_site_label
_atom_site_type_symbol
_atom_site_fract_x
_atom_site_fract_y
_atom_site_fract_z
_atom_site_occupancy
K1 K 0.000 0.000 0.000 1
Al1 Al 0.125 0.125 0.375 1
Ag1 Ag 0.250 0.250 0.750 1
```

# 3
DFT (PBE-GGA) results for a relaxed KAl2Ag crystal.

Geometry as CIF:
```
data_KAl2Ag
_space_group_name_H-M_alt 'P 1 2/m 1'
_space_group_IT_number 10
_space_group_name_Hall '-P 2y'
_cell_length_a 2.878
_cell_length_b 4.196
_cell_length_c 7.872
_cell_angle_alpha 90.00
_cell_angle_beta 90.25
_cell_angle_gamma 90.00
loop_
_atom_site_label
_atom_site_type_symbol
_atom_site_fract_x
_atom_site_fract_y
_atom_site_fract_z
_atom_site_occupancy
K1 K 0.000 0.000 0.000 1
Al1 Al 0.497 0.500 0.673 1
Ag1 Ag 0.000 0.000 0.500 1
```

- Energy above the most stable polymorph in this dataset: 0 meV/atom

Number 1: E_form 0.163 eV/atom, uncorrected energy -0.0991 Ha/atom. Number 2: E_form 0.237 eV/atom, uncorrected energy -0.1072 Ha/atom. Number 3: E_form 0.145 eV/atom, uncorrected energy -0.0997 Ha/atom.